Record 1
Here is an optimized crystal structure of NaSmTlPb from Alexandria via LeMat-Bulk. Energies are from GGA-PBE.

Summary:
energy relative to the elements = -1.26 eV/f.u.
magnetization = 0.0 μB per formula unit
excess energy over the best structure of this formula in the dataset = 0 meV/atom

Unit cell a=4.3552 b=5.2230 c=4.9709 alpha=90.00 beta=90.00 gamma=90.00
Fractional coordinates of all 4 atoms:
Na 0.5000 0.0000 0.5000
Sm 0.5000 0.5000 0.0000
Tl 0.0000 0.0000 0.0000
Pb 0.0000 0.5000 0.5000

Record 2
Here is an optimized crystal structure of NaSmYPb from Alexandria via LeMat-Bulk. Energies are from GGA-PBE.

Summary:
energy relative to the elements = -0.73 eV/f.u.
magnetization = 0.3 μB per formula unit

Unit cell a=5.4514 b=5.4514 c=5.4514 alpha=60.00 beta=60.00 gamma=60.00
Each line ends with the local moment (μB).
Fractional coordinates of all 4 atoms:
Pb 0.2500 0.2500 0.2500  -0.01
Na 0.7500 0.7500 0.7500  0.00
Y 0.0000 0.0000 0.0000  0.08
Sm 0.5000 0.5000 0.5000  0.08

Record 3
Here is an optimized crystal structure of NaSmZnPb from Alexandria via LeMat-Bulk. Energies are from GGA-PBE.

Summary:
energy relative to the elements = -0.99 eV/f.u.
magnetization = 0.0 μB per formula unit

Unit cell a=5.2792 b=5.2792 c=5.2792 alpha=60.00 beta=60.00 gamma=60.00
Fractional coordinates of all 4 atoms:
Pb 0.5000 0.5000 0.5000
Sm 0.7500 0.7500 0.7500
Zn 0.0000 0.0000 0.0000
Na 0.2500 0.2500 0.2500

Record 4
Here is an optimized crystal structure of Na3Sn3Pb2 from Alexandria via LeMat-Bulk. Energies are from GGA-PBE.

Summary:
energy relative to the elements = -0.98 eV/f.u.
magnetization = 0.0 μB per formula unit

Unit cell a=4.9265 b=4.9246 c=9.8150 alpha=104.53 beta=104.09 gamma=90.00
Fractional coordinates of all 8 atoms:
Sn 0.1213 0.6213 0.2427
Pb 0.2459 0.2461 0.4922
Na 0.3795 0.8795 0.7590
Na 0.6205 0.1205 0.2410
Sn 0.8787 0.3787 0.7573
Na 0.0000 0.0000 0.0000
Pb 0.7541 0.7539 0.5078
Sn 0.5000 0.5000 0.0000

Record 5
Here is an optimized crystal structure of NaSn4Pb2 from Alexandria via LeMat-Bulk. Energies are from GGA-PBE.

Summary:
energy relative to the elements = 1.05 eV/f.u.
magnetization = 0.0 μB per formula unit
excess energy over the best structure of this formula in the dataset = 112 meV/atom

Unit cell a=6.0890 b=6.0890 c=7.4019 alpha=114.29 beta=114.29 gamma=90.00
Fractional coordinates of all 7 atoms:
Sn 0.7500 0.2500 0.5000
Na 0.0000 0.0000 0.0000
Pb 0.6452 0.6452 0.2905
Sn 0.2500 0.7500 0.5000
Sn 0.0000 0.5000 0.0000
Pb 0.3548 0.3548 0.7095
Sn 0.5000 0.0000 0.0000

Record 6
Here is an optimized crystal structure of Na14SnPb from Alexandria via LeMat-Bulk. Energies are from GGA-PBE.

Summary:
energy relative to the elements = -0.84 eV/f.u.
magnetization = 0.0 μB per formula unit

Unit cell a=8.0635 b=8.0635 c=8.0246 alpha=90.00 beta=90.00 gamma=89.96
Fractional coordinates of all 16 atoms:
Na 0.1275 0.6225 0.2767
Na 0.3750 0.3750 0.0000
Sn 0.3750 0.3750 0.5000
Na 0.1275 0.1275 0.2767
Na 0.8750 0.8750 0.0000
Na 0.6225 0.1275 0.7233
Na 0.3750 0.8750 0.5000
Na 0.6225 0.6225 0.2767
Na 0.6225 0.6225 0.7233
Pb 0.8750 0.8750 0.5000
Na 0.1275 0.6225 0.7233
Na 0.1275 0.1275 0.7233
Na 0.8750 0.3750 0.5000
Na 0.8750 0.3750 0.0000
Na 0.6225 0.1275 0.2767
Na 0.3750 0.8750 0.0000

Record 7
Here is an optimized crystal structure of Na3Sn12Pb from Alexandria via LeMat-Bulk. Energies are from GGA-PBE.

Summary:
energy relative to the elements = -1.02 eV/f.u.
magnetization = 0.0 μB per formula unit

Unit cell a=4.6686 b=4.6686 c=19.9813 alpha=90.00 beta=90.00 gamma=90.00
Fractional coordinates of all 16 atoms:
Na 0.0000 0.0000 0.7438
Sn 0.5000 0.5000 0.0000
Sn 0.5000 0.5000 0.2551
Sn 0.0000 0.5000 0.6228
Sn 0.5000 0.0000 0.3772
Sn 0.5000 0.0000 0.6228
Sn 0.5000 0.0000 0.1334
Sn 0.0000 0.5000 0.1334
Sn 0.5000 0.5000 0.7449
Sn 0.0000 0.5000 0.3772
Sn 0.0000 0.5000 0.8666
Na 0.0000 0.0000 0.2562
Na 0.0000 0.0000 0.5000
Pb 0.0000 0.0000 0.0000
Sn 0.5000 0.5000 0.5000
Sn 0.5000 0.0000 0.8666

Record 8
Here is an optimized crystal structure of NaSn2Pb10 from Alexandria via LeMat-Bulk. Energies are from GGA-PBE.

Summary:
energy relative to the elements = 0.29 eV/f.u.
magnetization = 0.0 μB per formula unit

Unit cell a=6.4482 b=8.8039 c=8.8050 alpha=81.61 beta=67.51 gamma=67.78
Fractional coordinates of all 13 atoms:
Sn 0.5000 0.5000 0.0000
Pb 0.2923 0.2152 0.2096
Pb 0.4971 0.2167 0.7889
Sn 0.0000 0.5000 0.0000
Pb 0.3527 0.6448 0.6527
Pb 0.5029 0.7833 0.2111
Pb 0.0000 0.0000 0.5000
Pb 0.7077 0.7848 0.7904
Pb 0.5000 0.0000 0.5000
Pb 0.6473 0.3552 0.3473
Pb 0.0031 0.6451 0.3468
Na 0.0000 0.0000 0.0000
Pb 0.9969 0.3549 0.6532

Record 9
Here is an optimized crystal structure of Na3SnPb from Alexandria via LeMat-Bulk. Energies are from GGA-PBE.

Summary:
energy relative to the elements = -0.23 eV/f.u.
magnetization = 0.0 μB per formula unit
excess energy over the best structure of this formula in the dataset = 105 meV/atom

Unit cell a=7.5851 b=7.5851 c=8.0960 alpha=111.58 beta=123.65 gamma=90.91
Fractional coordinates of all 10 atoms:
Pb 0.3889 0.2209 0.6098
Na 0.1747 0.9997 0.7545
Na 0.2573 0.5713 0.8286
Na 0.2452 0.4202 0.2455
Pb 0.6111 0.7791 0.3902
Sn 0.2116 0.9384 0.1499
Na 0.7548 0.5798 0.7545
Na 0.7427 0.4287 0.1714
Na 0.8253 0.0003 0.2455
Sn 0.7884 0.0616 0.8501

Record 10
Here is an optimized crystal structure of Na3Sn8Pb3 from Alexandria via LeMat-Bulk. Energies are from GGA-PBE.

Summary:
energy relative to the elements = -0.67 eV/f.u.
magnetization = 0.0 μB per formula unit

Unit cell a=5.3884 b=9.3121 c=9.3121 alpha=79.55 beta=73.18 gamma=73.18
Fractional coordinates of all 14 atoms:
Na 0.7798 0.2202 0.2202
Sn 0.1422 0.2298 0.4857
Sn 0.1422 0.4857 0.2298
Sn 0.8578 0.5143 0.7702
Pb 0.0000 0.8385 0.1615
Na 0.5000 0.5000 0.5000
Sn 0.3512 0.9129 0.3847
Sn 0.6488 0.0871 0.6153
Pb 0.0000 0.1615 0.8385
Na 0.2202 0.7798 0.7798
Sn 0.3512 0.3847 0.9129
Sn 0.6488 0.6153 0.0871
Sn 0.8578 0.7702 0.5143
Pb 0.5000 0.0000 0.0000

Record 11
Here is an optimized crystal structure of Na8SnPb6 from Alexandria via LeMat-Bulk. Energies are from GGA-PBE.

Summary:
energy relative to the elements = -1.27 eV/f.u.
magnetization = 0.0 μB per formula unit

Unit cell a=8.7176 b=8.7176 c=8.4926 alpha=59.12 beta=59.12 gamma=60.00
Fractional coordinates of all 15 atoms:
Na 0.8654 0.1694 0.6289
Na 0.6637 0.1346 0.3711
Na 0.3363 0.8654 0.6289
Pb 0.4734 0.9515 0.8611
Pb 0.7140 0.4734 0.8611
Na 0.4136 0.4136 0.7592
Pb 0.2860 0.5266 0.1389
Na 0.1346 0.8306 0.3711
Na 0.1694 0.3363 0.6289
Na 0.5864 0.5864 0.2408
Pb 0.9515 0.7140 0.8611
Pb 0.0485 0.2860 0.1389
Pb 0.5266 0.0485 0.1389
Sn 0.0000 0.0000 0.0000
Na 0.8306 0.6637 0.3711

Record 12
Here is an optimized crystal structure of Na5Sn3Pb3 from Alexandria via LeMat-Bulk. Energies are from GGA-PBE.

Summary:
energy relative to the elements = -0.05 eV/f.u.
magnetization = 0.0 μB per formula unit

Unit cell a=3.5779 b=10.7589 c=10.7589 alpha=120.00 beta=90.00 gamma=90.00
Fractional coordinates of all 11 atoms:
Pb 0.0000 0.0000 0.5986
Pb 0.0000 0.5986 0.0000
Pb 0.0000 0.4014 0.4014
Sn 0.5000 0.0000 0.8329
Na 0.5000 0.0000 0.3396
Sn 0.5000 0.1671 0.1671
Na 0.5000 0.6604 0.6604
Na 0.5000 0.6667 0.3333
Sn 0.5000 0.8329 0.0000
Na 0.5000 0.3333 0.6667
Na 0.5000 0.3396 0.0000

Record 13
Here is an optimized crystal structure of NaSnPb4 from Alexandria via LeMat-Bulk. Energies are from GGA-PBE.

Summary:
energy relative to the elements = -0.37 eV/f.u.
magnetization = 0.0 μB per formula unit
excess energy over the best structure of this formula in the dataset = 0 meV/atom

Unit cell a=4.9128 b=7.8448 c=4.8893 alpha=89.99 beta=90.00 gamma=108.25
Fractional coordinates of all 6 atoms:
Sn 0.5000 0.0000 0.5000
Pb 0.6631 0.3262 0.0000
Pb 0.3369 0.6738 0.0000
Pb 0.1606 0.3212 0.5001
Pb 0.8394 0.6788 0.4999
Na 0.0000 0.0000 0.0000

Record 14
Here is an optimized crystal structure of Na5Sn2Pb4 from Alexandria via LeMat-Bulk. Energies are from GGA-PBE.

Summary:
energy relative to the elements = -0.47 eV/f.u.
magnetization = 0.0 μB per formula unit

Unit cell a=3.4096 b=10.8755 c=9.4714 alpha=92.43 beta=100.37 gamma=90.00
Fractional coordinates of all 11 atoms:
Na 0.2040 0.8579 0.4079
Pb 0.0345 0.3502 0.0691
Na 0.7929 0.6173 0.5858
Na 0.7960 0.1421 0.5921
Na 0.5000 0.0000 0.0000
Na 0.2071 0.3827 0.4142
Pb 0.3836 0.3963 0.7671
Pb 0.9655 0.6498 0.9309
Pb 0.6164 0.6037 0.2329
Sn 0.8640 0.8809 0.7280
Sn 0.1360 0.1191 0.2720

Record 15
Here is an optimized crystal structure of Na12SnPb7 from Alexandria via LeMat-Bulk. Energies are from GGA-PBE.

Summary:
energy relative to the elements = -2.36 eV/f.u.
magnetization = 0.0 μB per formula unit

Unit cell a=8.8043 b=8.8043 c=8.8043 alpha=103.24 beta=103.24 gamma=103.24
Fractional coordinates of all 20 atoms:
Na 0.7587 0.2499 0.5148
Na 0.2499 0.5148 0.7587
Na 0.3377 0.0818 0.3051
Sn 0.0000 0.0000 0.0000
Pb 0.8889 0.3136 0.9144
Pb 0.1111 0.6864 0.0856
Na 0.3051 0.3377 0.0818
Na 0.7501 0.4852 0.2413
Pb 0.6864 0.0856 0.1111
Pb 0.9144 0.8889 0.3136
Pb 0.5000 0.5000 0.5000
Na 0.5148 0.7587 0.2499
Na 0.9182 0.6949 0.6623
Na 0.6949 0.6623 0.9182
Na 0.2413 0.7501 0.4852
Na 0.4852 0.2413 0.7501
Na 0.0818 0.3051 0.3377
Pb 0.0856 0.1111 0.6864
Na 0.6623 0.9182 0.6949
Pb 0.3136 0.9144 0.8889

Record 16
Here is an optimized crystal structure of Na2SnPb2 from Alexandria via LeMat-Bulk. Energies are from GGA-PBE.

Summary:
energy relative to the elements = 0.14 eV/f.u.
magnetization = 0.0 μB per formula unit
excess energy over the best structure of this formula in the dataset = 166 meV/atom

Unit cell a=8.7883 b=8.7883 c=3.6972 alpha=90.00 beta=90.00 gamma=90.00
Fractional coordinates of all 10 atoms:
Na 0.1285 0.3715 0.0000
Pb 0.6718 0.8282 0.5000
Na 0.6285 0.1285 0.0000
Pb 0.3282 0.1718 0.5000
Na 0.3715 0.8715 0.0000
Pb 0.8282 0.3282 0.5000
Na 0.8715 0.6285 0.0000
Pb 0.1718 0.6718 0.5000
Sn 0.5000 0.5000 0.0000
Sn 0.0000 0.0000 0.0000

Record 17
Here is an optimized crystal structure of NaSn2Pb6 from Alexandria via LeMat-Bulk. Energies are from GGA-PBE.

Summary:
energy relative to the elements = -0.05 eV/f.u.
magnetization = 0.0 μB per formula unit
excess energy over the best structure of this formula in the dataset = 7 meV/atom

Unit cell a=5.8176 b=11.3376 c=11.3376 alpha=48.80 beta=77.47 gamma=77.47
Fractional coordinates of all 18 atoms:
Sn 0.5000 0.3310 0.1690
Na 0.7500 0.7500 0.2500
Pb 0.8316 0.3333 0.4939
Pb 0.6684 0.5061 0.6667
Na 0.2500 0.2500 0.7500
Pb 0.3316 0.8333 0.9939
Sn 0.0000 0.1690 0.3310
Sn 0.5000 0.6690 0.8310
Pb 0.3316 0.4939 0.3333
Pb 0.6684 0.1667 0.0061
Pb 0.4072 0.0813 0.5813
Pb 0.5928 0.9187 0.4187
Pb 0.1684 0.0061 0.1667
Pb 0.1684 0.6667 0.5061
Pb 0.0928 0.4187 0.9187
Pb 0.8316 0.9939 0.8333
Pb 0.9072 0.5813 0.0813
Sn 0.0000 0.8310 0.6690

Record 18
Here is an optimized crystal structure of NaSn4Pb15 from Alexandria via LeMat-Bulk. Energies are from GGA-PBE.

Summary:
energy relative to the elements = 0.54 eV/f.u.
magnetization = 0.0 μB per formula unit

Unit cell a=5.9447 b=5.9447 c=17.4274 alpha=90.00 beta=90.00 gamma=90.00
Fractional coordinates of all 20 atoms:
Na 0.0000 0.0000 0.0000
Sn 0.0000 0.0000 0.5994
Sn 0.0000 0.0000 0.8014
Pb 0.0000 0.5000 0.3008
Pb 0.5000 0.0000 0.8934
Pb 0.5000 0.0000 0.1066
Pb 0.5000 0.5000 0.2015
Pb 0.5000 0.5000 0.3989
Pb 0.5000 0.0000 0.6992
Pb 0.5000 0.0000 0.3008
Sn 0.0000 0.0000 0.4006
Pb 0.0000 0.5000 0.1066
Sn 0.0000 0.0000 0.1986
Pb 0.0000 0.5000 0.8934
Pb 0.5000 0.5000 0.7985
Pb 0.5000 0.5000 0.0000
Pb 0.0000 0.5000 0.5000
Pb 0.5000 0.5000 0.6011
Pb 0.5000 0.0000 0.5000
Pb 0.0000 0.5000 0.6992

Record 19
Here is an optimized crystal structure of Na2SnPb8 from Alexandria via LeMat-Bulk. Energies are from GGA-PBE.

Summary:
energy relative to the elements = -0.71 eV/f.u.
magnetization = 0.0 μB per formula unit
excess energy over the best structure of this formula in the dataset = 0 meV/atom

Unit cell a=4.8638 b=7.8805 c=9.3275 alpha=105.36 beta=105.11 gamma=90.00
Fractional coordinates of all 11 atoms:
Pb 0.7745 0.3592 0.5490
Na 0.8633 0.8189 0.7265
Na 0.1367 0.1811 0.2735
Pb 0.0437 0.7384 0.0874
Pb 0.4088 0.5539 0.8175
Pb 0.5912 0.4461 0.1825
Pb 0.3214 0.0898 0.6429
Sn 0.5000 0.0000 0.0000
Pb 0.2255 0.6408 0.4510
Pb 0.6786 0.9102 0.3571
Pb 0.9563 0.2616 0.9126

Record 20
Here is an optimized crystal structure of Na5SnPb8 from Alexandria via LeMat-Bulk. Energies are from GGA-PBE.

Summary:
energy relative to the elements = -0.58 eV/f.u.
magnetization = 0.0 μB per formula unit

Unit cell a=8.1963 b=8.1963 c=8.1963 alpha=110.99 beta=106.47 gamma=110.99
Fractional coordinates of all 14 atoms:
Pb 0.6534 0.4045 0.9233
Pb 0.5187 0.5955 0.2488
Pb 0.9214 0.0641 0.6485
Sn 0.2500 0.5000 0.7500
Pb 0.0767 0.7301 0.4813
Na 0.2901 0.0838 0.9582
Pb 0.1427 0.7271 0.0786
Na 0.0418 0.3319 0.1256
Na 0.8744 0.9162 0.2063
Na 0.7937 0.6681 0.7099
Pb 0.3515 0.2729 0.4156
Pb 0.7512 0.2699 0.3466
Pb 0.5844 0.9359 0.8573
Na 0.5000 0.0000 0.5000

Record 21
Here is an optimized crystal structure of Na2SnPb9 from Alexandria via LeMat-Bulk. Energies are from GGA-PBE.

Summary:
energy relative to the elements = -0.72 eV/f.u.
magnetization = 0.0 μB per formula unit

Unit cell a=4.9078 b=4.9078 c=15.0831 alpha=90.00 beta=90.00 gamma=90.00
Fractional coordinates of all 12 atoms:
Na 0.0000 0.0000 0.6636
Pb 0.0000 0.5000 0.5000
Pb 0.5000 0.5000 0.3345
Pb 0.5000 0.0000 0.1690
Na 0.0000 0.0000 0.3364
Pb 0.5000 0.0000 0.5000
Pb 0.5000 0.0000 0.8310
Pb 0.0000 0.5000 0.1690
Pb 0.5000 0.5000 0.0000
Pb 0.5000 0.5000 0.6655
Pb 0.0000 0.5000 0.8310
Sn 0.0000 0.0000 0.0000